Material: TeWNO2
Method: DFT, PBE+U
State: optimized geometry

- Calculated total energy: -26.27 eV per cell
- Magnetic moment: 4.0 μB/cell

```
data_TeWNO2
_cell_length_a 4.001
_cell_length_b 4.001
_cell_length_c 4.350
_cell_angle_alpha 90.00
_cell_angle_beta 90.00
_cell_angle_gamma 90.00
_symmetry_space_group_name_H-M 'P 4/m m m'
_symmetry_Int_Tables_number 123
_symmetry_space_group_name_Hall '-P 4 2'
loop_
_atom_site_label
_atom_site_type_symbol
_atom_site_fract_x
_atom_site_fract_y
_atom_site_fract_z
Te1 Te 0.000 0.000 0.000
W1 W 0.500 0.500 0.500
N1 N 0.000 0.000 0.500
O1 O 0.000 0.500 0.000
```